Computed, not measured: crystalline La8AgOs2 at its relaxed geometry at the PBE level of DFT.

- Mass density: 7.74 Mg/m³
- Final energy: -5.96 eV per atom

Unit cell a=8.0861 b=8.0861 c=6.0333 alpha=98.86 beta=98.86 gamma=114.84
Last column: nearest neighbours and their distance in Å.
Positions (direct):
La 0.0000 0.0000 0.0000  1 Ag 3.26, 2 Os 3.31, 4 La 3.47-3.60
La 0.0551 0.3086 0.6316  2 Os 2.88-2.89
La 0.1517 0.6309 0.1993  2 Os 3.11-3.12, 1 Ag 3.27
La 0.3086 0.0551 0.6316  2 Os 2.88-2.89
La 0.4722 0.7263 0.7670  2 Os 2.88-2.89
La 0.6309 0.1517 0.1993  2 Os 3.11-3.12, 1 Ag 3.27
La 0.7263 0.4722 0.7670  2 Os 2.88-2.89
La 0.7790 0.7790 0.3964  1 Ag 3.26, 2 Os 3.31, 4 La 3.47-3.60
Ag 0.3891 0.3891 0.2013  4 La 3.26-3.27
Os 0.0938 0.6860 0.6982  6 La 2.88-3.12
Os 0.6860 0.0938 0.6982  6 La 2.88-3.12